Entry 1:
RbTeH: relaxed, PBEsol.

```
RbTeH
1.0
5.7835 0.0000 -0.0006
0.0000 6.2298 0.0000
2.8763 0.0000 5.0176
Te H Rb
2 2 2
direct
0.7670 0.2725 0.7670 Te
0.7670 0.7275 0.7670 Te
0.0690 0.0000 0.2027 H
0.2027 0.0000 0.0690 H
0.1014 0.5000 0.1014 Rb
0.4328 0.0000 0.4328 Rb
```

* total moment: 0.0 μB per formula unit
* space-group type: Amm2, No. 38
* uncorrected energy: -3.1509 eV/atom

---

Entry 2:
ScRePt2: relaxed, PBEsol.

```
ScRePt2
1.0
-2.1402 -1.5686 0.9998
-1.7212 -1.3598 -1.7969
4.1526 -8.2236 0.0082
Pt Re Sc
2 1 1
direct
0.9991 0.9991 0.0027 Pt
0.7522 0.7522 0.7435 Pt
0.4970 0.4970 0.5091 Re
0.2518 0.2518 0.2447 Sc
```

* total moment: 0.0 μB per formula unit
* space-group type: R3m, No. 160
* uncorrected energy: -8.5928 eV/atom

---

Entry 3:
Mg7Tl: relaxed, PBEsol.

```
Mg7Tl
1.0
6.3490 0.0000 0.0000
3.1745 5.4984 0.0000
3.1745 1.8328 5.1840
Mg Tl
7 1
direct
0.5000 0.5000 0.5000 Mg
0.5000 0.5000 0.0000 Mg
0.0000 0.5000 0.0000 Mg
0.5000 0.0000 0.0000 Mg
0.5000 0.0000 0.5000 Mg
0.0000 0.5000 0.5000 Mg
0.0000 0.0000 0.5000 Mg
0.0000 0.0000 0.0000 Tl
```

* total moment: 0.0 μB per formula unit
* space-group type: Fm-3m, No. 225
* uncorrected energy: -1.8539 eV/atom

---

Entry 4:
TaAl2Rh: relaxed, PBEsol.

```
TaAl2Rh
1.0
-0.1818 2.6810 1.2620
-4.0651 -0.9421 1.4159
3.8855 -2.5918 2.5738
Rh Al Ta
1 2 1
direct
0.4917 0.4917 0.9835 Rh
0.0007 0.0007 0.0014 Al
0.7700 0.2700 0.5399 Al
0.2376 0.7376 0.4752 Ta
```

* total moment: 0.0 μB per formula unit
* space-group type: Imm2, No. 44
* uncorrected energy: -7.6117 eV/atom

---

Entry 5:
CoRe: relaxed, PBEsol.

```
CoRe
1.0
2.5780 0.0000 0.0000
0.0000 3.9688 0.0000
-1.2890 0.0000 4.7533
Re Co
2 2
direct
0.8345 0.7500 0.6690 Re
0.1655 0.2500 0.3310 Re
0.5664 0.7500 0.1328 Co
0.4336 0.2500 0.8672 Co
```

* total moment: 0.0 μB per formula unit
* space-group type: Cmcm, No. 63
* uncorrected energy: -10.5904 eV/atom

---

Entry 6:
SrZn2Fe: relaxed, PBEsol.

```
SrZn2Fe
1.0
-1.9005 0.5449 -3.9815
3.2350 -3.7425 0.4252
-1.7149 -4.0931 0.2584
Zn Fe Sr
2 1 1
direct
0.2500 0.5000 0.2500 Zn
0.0000 0.0000 0.0000 Zn
0.5000 0.0000 0.5000 Fe
0.7500 0.5000 0.7500 Sr
```

* total moment: 2.6 μB per formula unit
* space-group type: I-4m2, No. 119
* uncorrected energy: -3.0029 eV/atom

---

Entry 7:
Ir3Ru: relaxed, PBEsol.

```
Ir3Ru
1.0
2.7149 0.0000 0.0000
0.0000 4.3558 0.0000
0.0000 0.0000 4.7022
Ir Ru
3 1
direct
0.5000 0.0000 0.4991 Ir
0.0000 0.0000 0.0015 Ir
0.5000 0.5000 0.8328 Ir
0.0000 0.5000 0.3332 Ru
```

* total moment: 0.0 μB per formula unit
* space-group type: Pmm2, No. 25
* uncorrected energy: -9.9008 eV/atom

---

Entry 8:
Ta2NiP: relaxed, PBEsol.

```
Ta2NiP
1.0
-0.7857 -2.6619 -0.9786
2.8311 -0.6760 -0.4342
0.3755 -2.3639 6.1284
Ta P Ni
2 1 1
direct
0.0000 0.0000 0.2649 Ta
0.0000 0.0000 0.7351 Ta
0.5000 0.5000 0.5000 P
0.5000 0.5000 0.0000 Ni
```

* total moment: 0.0 μB per formula unit
* space-group type: P4/mmm, No. 123
* uncorrected energy: -9.5497 eV/atom

---

Entry 9:
CdAg2Cl: relaxed, PBEsol.

```
CdAg2Cl
1.0
-0.9100 -2.9335 -0.8386
1.6832 0.2417 -2.6721
6.1578 -2.9602 3.6735
Ag Cl Cd
2 1 1
direct
0.5000 0.7497 0.2479 Ag
0.0000 0.2452 0.0239 Ag
0.5000 0.2506 0.7530 Cl
0.0000 0.2545 0.4752 Cd
```

* total moment: 0.0 μB per formula unit
* space-group type: Pm, No. 6
* ΔE to the lowest computed polymorph: 0.0 meV/atom
* uncorrected energy: -2.6049 eV/atom
* raw formation energy: -0.59 eV/f.u.

---

Entry 10:
Zr4ReSi: relaxed, PBEsol.

```
Zr4ReSi
1.0
-3.8970 3.7666 0.3717
-4.4462 -0.3768 -3.0986
-4.7823 -1.2525 2.2523
Zr Si Re
4 1 1
direct
0.3761 0.3761 0.3761 Zr
0.3761 0.8717 0.3761 Zr
0.3761 0.3761 0.8717 Zr
0.8717 0.3761 0.3761 Zr
0.0000 0.0000 0.0000 Si
0.7500 0.7500 0.7500 Re
```

* total moment: 0.0 μB per formula unit
* space-group type: F-43m, No. 216
* uncorrected energy: -8.6864 eV/atom
* raw formation energy: 3.32 eV/f.u.

---

Entry 11:
Al2CoPb: relaxed, PBEsol.

```
Al2CoPb
1.0
-2.4816 1.3787 0.7585
0.2170 -1.1030 2.7149
4.2774 6.4462 2.2771
Co Pb Al
1 1 2
direct
0.5000 0.5000 0.0000 Co
0.5000 0.5000 0.5000 Pb
0.0000 0.0000 0.8308 Al
0.0000 0.0000 0.1692 Al
```

* total moment: 0.5 μB per formula unit
* space-group type: P4/mmm, No. 123
* uncorrected energy: -5.0413 eV/atom

---

Entry 12:
Ba2TbNbO6: relaxed, PBEsol.

```
Ba2TbNbO6
1.0
-0.2873 4.4310 -3.9796
-4.1079 -4.3634 -0.0948
-5.5980 1.1593 1.6949
Ba O Nb Tb
2 6 1 1
direct
0.7500 0.5000 0.7500 Ba
0.2500 0.5000 0.2500 Ba
0.2287 0.0000 0.7009 O
0.7366 0.4732 0.2634 O
0.2991 0.0000 0.2287 O
0.7009 0.0000 0.7713 O
0.2634 0.5268 0.7366 O
0.7713 0.0000 0.2991 O
0.5000 0.0000 0.5000 Nb
0.0000 0.0000 0.0000 Tb
```

* total moment: 0.0 μB per formula unit
* space-group type: I4/m, No. 87
* uncorrected energy: -8.2358 eV/atom
* raw formation energy: -30.73 eV/f.u.

---

Entry 13:
AlCdMo3: relaxed, PBEsol.

```
AlCdMo3
1.0
4.7756 0.0000 0.0000
0.0000 4.7756 0.0000
0.0000 0.0000 4.7756
Al Cd Mo
1 1 3
direct
0.5000 0.5000 0.5000 Al
0.0000 0.0000 0.0000 Cd
0.5000 0.0000 0.0000 Mo
0.0000 0.5000 0.0000 Mo
0.0000 0.0000 0.5000 Mo
```

* total moment: 0.0 μB per formula unit
* space-group type: Pm-3m, No. 221
* uncorrected energy: -5.5931 eV/atom

---

Entry 14:
AlZn2Rh: relaxed, PBEsol.

```
AlZn2Rh
1.0
3.6297 0.0000 0.0000
0.0000 3.6287 0.0000
-1.8149 -1.8144 4.0689
Zn Al Rh
2 1 1
direct
0.2502 0.2502 0.5003 Zn
0.7498 0.7498 0.4997 Zn
0.5000 0.0000 0.0000 Al
0.0000 0.5000 0.0000 Rh
```

* total moment: 0.0 μB per formula unit
* space-group type: I4/mmm, No. 139
* uncorrected energy: -4.3479 eV/atom

---

Entry 15:
Ca2NiWO6: relaxed, PBEsol.

```
Ca2NiWO6
1.0
5.3516 0.0000 0.0028
0.0000 5.5186 0.0000
-0.0669 0.0000 7.6078
O Ni Ca W
12 2 4 2
direct
0.7093 0.6969 0.0435 O
0.2907 0.3031 0.9565 O
0.4106 0.0258 0.2554 O
0.6937 0.7131 0.4515 O
0.9106 0.4742 0.7554 O
0.7907 0.1969 0.4565 O
0.8063 0.2131 0.0485 O
0.0894 0.5258 0.2446 O
0.5894 0.9742 0.7446 O
0.1937 0.7869 0.9515 O
0.2093 0.8031 0.5435 O
0.3063 0.2869 0.5485 O
0.0000 0.5000 0.5000 Ni
0.5000 0.0000 0.0000 Ni
0.4868 0.5543 0.7526 Ca
0.0132 0.0543 0.7474 Ca
0.9868 0.9457 0.2526 Ca
0.5132 0.4457 0.2474 Ca
0.5000 0.0000 0.5000 W
0.0000 0.5000 0.0000 W
```

* total moment: 1.9 μB per formula unit
* space-group type: P2_1/c, No. 14
* uncorrected energy: -7.9112 eV/atom
* raw formation energy: -23.38 eV/f.u.

---

Entry 16:
Mg2AlTe: relaxed, PBEsol.

```
Mg2AlTe
1.0
3.7700 0.0000 0.0000
0.0000 3.7700 0.0000
0.0000 0.0000 6.2554
Al Te Mg
1 1 2
direct
0.5000 0.5000 0.0000 Al
0.5000 0.5000 0.5000 Te
0.0000 0.0000 0.7595 Mg
0.0000 0.0000 0.2405 Mg
```

* total moment: 0.0 μB per formula unit
* space-group type: P4/mmm, No. 123
* ΔE to the lowest computed polymorph: 0.0 meV/atom
* uncorrected energy: -2.9136 eV/atom
* raw formation energy: -0.60 eV/f.u.

---

Entry 17:
CeGe5: relaxed, PBEsol.

```
CeGe5
1.0
3.9528 0.0000 0.0000
1.9764 5.7061 -0.0061
1.9764 2.4884 5.1350
Ge Ce
5 1
direct
0.3315 0.4595 0.8774 Ge
0.6685 0.1226 0.5405 Ge
0.6685 0.5405 0.1226 Ge
0.3315 0.8774 0.4595 Ge
0.0000 0.5000 0.5000 Ge
0.0000 0.0000 0.0000 Ce
```

* total moment: 0.0 μB per formula unit
* space-group type: Immm, No. 71
* uncorrected energy: -5.5559 eV/atom

---

Entry 18:
Cs4PbO3: relaxed, PBEsol.

```
Cs4PbO3
1.0
-2.5618 -0.5596 6.7558
10.7708 -0.8829 4.0111
-3.3927 11.3280 -0.3482
O Pb Cs
12 4 16
direct
0.0089 0.3974 0.7787 O
0.8470 0.7629 0.8542 O
0.9495 0.0947 0.1750 O
0.4495 0.9053 0.8250 O
0.9830 0.4172 0.2911 O
0.3470 0.2371 0.1458 O
0.1268 0.7411 0.1671 O
0.6268 0.2589 0.8329 O
0.4830 0.5828 0.7089 O
0.2525 0.7990 0.4482 O
0.5089 0.6026 0.2213 O
0.7525 0.2010 0.5518 O
0.6324 0.7501 0.7206 Pb
0.8793 0.2166 0.7259 Pb
0.1324 0.2499 0.2794 Pb
0.3793 0.7834 0.2741 Pb
0.7870 0.0422 0.9326 Cs
0.0269 0.0124 0.4120 Cs
0.8879 0.6669 0.3447 Cs
0.3879 0.3332 0.6553 Cs
0.1884 0.4681 0.1000 Cs
0.6761 0.3680 0.1213 Cs
0.2870 0.9578 0.0674 Cs
0.5269 0.9876 0.5880 Cs
0.8749 0.4452 0.5718 Cs
0.3168 0.1602 0.8914 Cs
0.1761 0.6320 0.8787 Cs
0.6884 0.5319 0.9000 Cs
0.3749 0.5548 0.4282 Cs
0.8168 0.8398 0.1086 Cs
0.1330 0.8211 0.6821 Cs
0.6330 0.1789 0.3179 Cs
```

* total moment: 0.0 μB per formula unit
* space-group type: P2_1, No. 4
* uncorrected energy: -4.1135 eV/atom
* raw formation energy: -9.39 eV/f.u.

---

Entry 19:
ScH2Pt2: relaxed, PBEsol.

```
ScH2Pt2
1.0
-3.2800 0.6263 -1.2370
-1.1798 -2.9297 1.6450
1.3415 3.4997 3.3405
Sc H Pt
1 2 2
direct
0.0000 0.0000 0.0000 Sc
0.2500 0.7500 0.5000 H
0.7500 0.2500 0.5000 H
0.6570 0.6570 0.3139 Pt
0.3430 0.3430 0.6861 Pt
```

* total moment: 0.0 μB per formula unit
* space-group type: I4/mmm, No. 139
* uncorrected energy: -6.0064 eV/atom

---

Entry 20:
BaTe2Au: relaxed, PBEsol.

```
BaTe2Au
1.0
4.4398 0.0000 0.0000
0.0000 4.8240 0.0206
0.0000 -1.8677 6.4364
Ba Au Te
1 1 2
direct
0.5000 0.2846 0.7442 Ba
0.0000 0.6982 0.5236 Au
0.0000 0.8475 0.9345 Te
0.5000 0.6697 0.2978 Te
```

* total moment: 0.0 μB per formula unit
* space-group type: Pm, No. 6
* ΔE to the lowest computed polymorph: 78.3 meV/atom
* uncorrected energy: -4.0403 eV/atom
* raw formation energy: -3.04 eV/f.u.